Density functional theory data (PBE) for a relaxed KLa2Ru crystal.

Structure (POSCAR):
```
KLa2Ru
1.0
4.251 0.000 0.000
0.000 5.132 0.000
0.000 0.000 5.132
La K Ru
2 1 1
direct
0.000 0.000 0.000
0.000 0.500 0.500
0.500 0.000 0.500
0.500 0.500 0.000
```

Results
Crystal system: tetragonal
DFT total energy (eV/atom): -4.51
Excess energy over the best structure of this formula in the dataset (kJ per mole of atoms): 67.3
V (A^3/atom): 27.985

Density functional theory data (PBE) for a relaxed KSr2LaRu crystal.

Structure (POSCAR):
```
KSr2LaRu
1.0
-3.023 4.693 3.046
-2.895 -4.274 3.713
3.913 0.310 3.407
Ru K La Sr
1 1 1 2
direct
0.000 0.000 0.000
0.500 0.500 0.500
0.000 0.000 0.500
0.000 0.500 0.000
0.500 0.000 0.000
```

Results
Crystal system: tetragonal
DFT total energy (eV/atom): -3.67
V (A^3/atom): 42.036

Density functional theory data (PBE) for a relaxed KLa2YRu crystal.

Structure (POSCAR):
```
KLa2YRu
1.0
5.661 0.000 0.000
0.000 5.661 0.000
0.000 0.000 5.669
La K Y Ru
2 1 1 1
direct
0.000 0.500 0.000
0.500 0.000 0.000
0.500 0.500 0.500
0.000 0.000 0.500
0.000 0.000 0.000
```

Results
Crystal system: tetragonal
DFT total energy (eV/atom): -5.34
V (A^3/atom): 36.330

For the records above, the corresponding energy of formation from the pure elements values read 0.552 0.065 -0.005 eV/atom.